Here is crystalline Na2Ti2AlSe6 at its relaxed geometry from the Alexandria database. Energies are from PBE.

```
data_Na2Ti2AlSe6
_cell_length_a 6.463
_cell_length_b 6.463
_cell_length_c 7.470
_cell_angle_alpha 98.55
_cell_angle_beta 98.55
_cell_angle_gamma 120.69
_symmetry_space_group_name_H-M 'P 1'
_symmetry_Int_Tables_number 1
_symmetry_space_group_name_Hall 'P 1'
loop_
_atom_site_label
_atom_site_fract_x
_atom_site_fract_y
_atom_site_fract_z
Na1 0.836 0.164 0.000
Na2 0.164 0.836 0.000
Se1 0.925 0.596 0.291
Se2 0.596 0.925 0.291
Se3 0.075 0.404 0.709
Se4 0.404 0.075 0.709
Se5 0.259 0.259 0.302
Se6 0.741 0.741 0.698
Ti1 0.327 0.673 0.500
Ti2 0.673 0.327 0.500
Al1 0.000 0.000 0.500
```

Properties
Final energy: -5.00 eV/atom
Formation energy without anion corrections: -104.7 kJ per mole of atoms
Space group: C2/m
V: 256.0 Å³/cell



Here is crystalline Sr3CaIr8 at its relaxed geometry from the Alexandria database. Energies are from PBE.

```
data_Sr3CaIr8
_cell_length_a 5.461
_cell_length_b 5.461
_cell_length_c 9.402
_cell_angle_alpha 73.50
_cell_angle_beta 73.50
_cell_angle_gamma 60.32
_symmetry_space_group_name_H-M 'P 1'
_symmetry_Int_Tables_number 1
_symmetry_space_group_name_Hall 'P 1'
loop_
_atom_site_label
_atom_site_fract_x
_atom_site_fract_y
_atom_site_fract_z
Sr1 0.494 0.494 0.498
Sr2 0.371 0.371 0.875
Sr3 0.004 0.004 0.000
Ir1 0.436 0.436 0.184
Ir2 0.685 0.685 0.939
Ir3 0.184 0.184 0.438
Ir4 0.447 0.922 0.683
Ir5 0.932 0.455 0.194
Ir6 0.922 0.447 0.683
Ir7 0.455 0.932 0.194
Ir8 0.942 0.942 0.685
Ca1 0.878 0.878 0.375
```

Properties
Final energy: -6.80 eV/atom
Space group: Cm
V: 230.1 Å³/cell
Formation energy from the elements: -0.305 eV per atom